No. 1
A geometry-optimized HfCo3B2 structure. Source: OQMD via LeMat-Bulk, functional PBE.

Cell: 8.3511 8.3511 9.0467 Å, 90.00 90.00 120.00°
Space group R-3m (No. 166, hexagonal axes)
Asymmetric unit:
Hf: 0.0000 0.0000 0.0000 (multiplicity 3)
Hf: 0.0000 0.0000 0.3296 (multiplicity 6)
Co: 0.0000 0.5000 0.5000 (multiplicity 9)
Co: 0.0015 0.5007 0.1956 (multiplicity 18)
B: 0.0000 0.3783 0.0000 (multiplicity 18)

Relative energy among the computed polymorphs in eV/atom: 0.000


No. 2
A geometry-optimized TbGaTe3Pb structure. Source: OQMD via LeMat-Bulk, functional PBE.

Cell: 4.5034 14.9975 11.0387 Å, 90.00 90.00 90.00°
Space group Cmcm (No. 63)
Asymmetric unit:
Tb: 0.0000 0.0000 0.0000 (multiplicity 4)
Ga: 0.0000 0.4748 0.2500 (multiplicity 4)
Te: 0.0000 0.1016 0.2500 (multiplicity 4)
Te: 0.0000 0.3560 0.0434 (multiplicity 8)
Pb: 0.0000 0.2401 0.7500 (multiplicity 4)

Calculated total energy in eV for the cell shown: -97.636